Arrangement w

# TlZnSe | the Alexandria database | PBE-GGA | optimized geometry
# Fermi-level density of states: 0.701 states/eV per atom
# V: 315.0 Å³/cell
# Total moment: 0.0 μB per formula unit
data_TlZnSe
_cell_length_a 6.804
_cell_length_b 6.804
_cell_length_c 6.804
_cell_angle_alpha 90.00
_cell_angle_beta 90.00
_cell_angle_gamma 90.00
_symmetry_space_group_name_H-M 'F -4 3 m'
_symmetry_Int_Tables_number 216
_symmetry_space_group_name_Hall 'F -4 2 3'
loop_
_atom_site_label
_atom_site_type_symbol
_atom_site_fract_x
_atom_site_fract_y
_atom_site_fract_z
Tl1 Tl 0.000 0.000 0.000
Zn1 Zn 0.250 0.250 0.750
Se1 Se 0.000 0.000 0.500

=====

Arrangement x

# TlZnSe | the Alexandria database | PBE-GGA | optimized geometry
# Fermi-level density of states: 0.368 states/eV per atom
# V: 163.6 Å³/cell
# Total moment: 0.0 μB per formula unit
data_TlZnSe
_cell_length_a 3.603
_cell_length_b 3.603
_cell_length_c 12.606
_cell_angle_alpha 90.00
_cell_angle_beta 90.00
_cell_angle_gamma 90.00
_symmetry_space_group_name_H-M 'I 4 m m'
_symmetry_Int_Tables_number 107
_symmetry_space_group_name_Hall 'I 4 -2'
loop_
_atom_site_label
_atom_site_type_symbol
_atom_site_fract_x
_atom_site_fract_y
_atom_site_fract_z
Tl1 Tl 0.000 0.000 0.000
Zn1 Zn 0.000 0.000 0.712
Se1 Se 0.000 0.000 0.248

=====

Arrangement y

# TlZnSe | the Alexandria database | PBE-GGA | optimized geometry
# Fermi-level density of states: 1.205 states/eV per atom
# V: 345.9 Å³/cell
# Total moment: 0.0 μB per formula unit
data_TlZnSe
_cell_length_a 7.020
_cell_length_b 7.020
_cell_length_c 7.020
_cell_angle_alpha 90.00
_cell_angle_beta 90.00
_cell_angle_gamma 90.00
_symmetry_space_group_name_H-M 'F -4 3 m'
_symmetry_Int_Tables_number 216
_symmetry_space_group_name_Hall 'F -4 2 3'
loop_
_atom_site_label
_atom_site_type_symbol
_atom_site_fract_x
_atom_site_fract_y
_atom_site_fract_z
Tl1 Tl 0.000 0.000 0.000
Zn1 Zn 0.250 0.250 0.250
Se1 Se 0.250 0.250 0.750

=====

Q: What are the energies relative to the best structure? A: arrangement w 0.100; arrangement x 0.000; arrangement y 0.341, in eV/atom.